No. 1
## CsNp2Br8 (PBE)

Data for a geometry-optimized CsNp2Br8 structure.

extended XYZ file:
```
11
Lattice="7.0028 0.0000 0.0000 0.0000 7.0028 0.0000 0.0000 0.0000 8.8525" Properties=species:S:1:pos:R:3 pbc="T T T"
Cs 0.0000 0.0000 0.0000
Np 0.0000 3.5014 4.4262
Np 3.5014 0.0000 4.4262
Br 1.7634 1.7634 2.7368
Br 1.7634 1.7634 6.1156
Br 1.7634 5.2394 2.7368
Br 1.7634 5.2394 6.1156
Br 5.2394 1.7634 2.7368
Br 5.2394 1.7634 6.1156
Br 5.2394 5.2394 2.7368
Br 5.2394 5.2394 6.1156
```

Calculated values
- ΔE to the lowest computed polymorph (eV per atom) = 0.0000
- symmetry = No. 123
- density of states at the Fermi level (states/eV/cell) = 13.9
- uncorrected formation energy (meV per atom) = -1322

=====

No. 2
## Cs3NpBr6 (PBE)

Data for a geometry-optimized Cs3NpBr6 structure.

extended XYZ file:
```
20
Lattice="8.5208 0.0000 0.0000 0.0000 9.0600 0.0000 -8.4913 0.0000 12.2081" Properties=species:S:1:pos:R:3 pbc="T T T"
Cs 0.0000 0.0000 0.0000
Cs -4.2457 4.5300 6.1040
Cs -4.0142 0.6333 9.1618
Cs 0.2315 3.8967 3.0578
Cs -0.2021 5.1633 9.1503
Cs 4.0436 8.4267 3.0463
Np 0.0147 0.0000 6.1040
Np 4.2604 4.5300 0.0000
Br -0.9984 0.4510 3.4187
Br -5.2440 4.0790 9.5227
Br 1.9525 6.1429 0.7000
Br -2.2932 7.4471 6.8040
Br 2.8648 2.1022 0.8128
Br -1.3808 2.4279 6.9169
Br 1.4103 6.6322 5.2912
Br -2.8354 6.9579 11.3953
Br 2.3226 1.6129 5.4041
Br -1.9230 2.9171 11.5081
Br 5.2735 4.9810 2.6854
Br 1.0278 8.6090 8.7894
```

Calculated values
- ΔE to the lowest computed polymorph (eV per atom) = 0.0000
- symmetry = No. 14
- density of states at the Fermi level (states/eV/cell) = 10.3
- uncorrected formation energy (meV per atom) = -1649

=====

No. 3
## Cs3NpBr6 (PBE)

Data for a geometry-optimized Cs3NpBr6 structure.

extended XYZ file:
```
10
Lattice="7.3416 -4.3053 0.0000 7.3416 4.3053 0.0000 -4.8493 0.0000 7.5419" Properties=species:S:1:pos:R:3 pbc="T T T"
Cs 0.0000 0.0000 0.0000
Cs 0.0426 0.0000 5.4514
Cs 9.7913 0.0000 2.0905
Np 4.9169 0.0000 3.7710
Br 3.1704 2.0186 4.9057
Br 3.4002 0.0000 1.2876
Br 6.6635 2.0186 2.6362
Br 3.1704 -2.0186 4.9057
Br 6.4337 0.0000 6.2543
Br 6.6635 -2.0186 2.6362
```

Calculated values
- ΔE to the lowest computed polymorph (eV per atom) = 0.0092
- symmetry = No. 12
- density of states at the Fermi level (states/eV/cell) = 5.3
- uncorrected formation energy (meV per atom) = -1640